[1]
Material: Cs2CaDyI6
Method: DFT, PBE
State: optimized geometry

Lattice parameters (Å, degrees): 8.7078 12.3246 8.7131 90.00 90.00 90.00
Last column: nearest neighbours and their distance in Å.
Positions (direct):
Cs1 0.2500 0.0007 0.2488  12 I 4.34-4.38
Cs2 0.2500 0.4993 0.2488  12 I 4.34-4.38
Cs3 0.7500 0.5007 0.7512  12 I 4.34-4.38
Cs4 0.7500 0.9993 0.7512  12 I 4.34-4.38
Ca1 0.2500 0.2500 0.7492  6 I 3.11
Ca2 0.7500 0.7500 0.2508  6 I 3.11
Dy1 0.2500 0.7500 0.7508  6 I 3.05
Dy2 0.7500 0.2500 0.2492  6 I 3.05
I1 0.0022 0.7500 0.5033  1 Dy 3.05, 1 Ca 3.11
I2 0.0024 0.7500 0.9985  1 Dy 3.05, 1 Ca 3.11
I3 0.2500 0.5024 0.7510  1 Dy 3.05, 1 Ca 3.11
I4 0.2500 0.9976 0.7510  1 Dy 3.05, 1 Ca 3.11
I5 0.4978 0.7500 0.5033  1 Dy 3.05, 1 Ca 3.11
I6 0.4976 0.7500 0.9985  1 Dy 3.05, 1 Ca 3.11
I7 0.5024 0.2500 0.0015  1 Dy 3.05, 1 Ca 3.11
I8 0.5022 0.2500 0.4967  1 Dy 3.05, 1 Ca 3.11
I9 0.7500 0.0024 0.2490  1 Dy 3.05, 1 Ca 3.11
I10 0.7500 0.4976 0.2490  1 Dy 3.05, 1 Ca 3.11
I11 0.9976 0.2500 0.0015  1 Dy 3.05, 1 Ca 3.11
I12 0.9978 0.2500 0.4967  1 Dy 3.05, 1 Ca 3.11

Calculated values
Formation energy without anion corrections   -14.0 eV/f.u.
Calculated total energy   -63.2 eV per cell
Crystal system   orthorhombic

***

[2]
Material: Ti12CuPb3
Method: DFT, PBE
State: optimized geometry

Lattice parameters (Å, degrees): 5.2200 5.2379 10.4711 90.00 90.00 90.00
Last column: nearest neighbours and their distance in Å.
Positions (direct):
Ti1 0.0000 0.0000 0.1173  2 Ti 2.46-2.66
Ti2 0.0000 0.0000 0.3710  2 Ti 2.66-2.70, 4 Pb 2.91-2.94
Ti3 0.0000 0.0000 0.6290  2 Ti 2.66-2.70, 4 Pb 2.91-2.94
Ti4 0.0000 0.0000 0.8827  2 Ti 2.46-2.66
Ti5 0.2482 0.5000 0.5000  2 Ti 2.59-2.63
Ti6 0.2593 0.5000 0.0000  2 Ti 2.51-2.71
Ti7 0.5000 0.2438 0.2374  2 Ti 2.55-2.68, 1 Cu 2.79
Ti8 0.5000 0.2438 0.7626  2 Ti 2.55-2.68, 1 Cu 2.79
Ti9 0.5000 0.7562 0.2374  2 Ti 2.55-2.68, 1 Cu 2.79
Ti10 0.5000 0.7562 0.7626  2 Ti 2.55-2.68, 1 Cu 2.79
Ti11 0.7407 0.5000 0.0000  2 Ti 2.51-2.71
Ti12 0.7518 0.5000 0.5000  2 Ti 2.59-2.63
Cu1 0.5000 0.0000 0.0000  12 Ti 2.79-2.90
Pb1 0.0000 0.5000 0.2501  12 Ti 2.91-2.97
Pb2 0.0000 0.5000 0.7499  12 Ti 2.91-2.97
Pb3 0.5000 0.0000 0.5000  12 Ti 2.93-3.03

Calculated values
Calculated total energy   -110.8 eV per cell
Crystal system   orthorhombic
Formation enthalpy at 0 K   -0.05 eV per atom

***

[3]
Material: RbSr2OsCl
Method: DFT, PBE
State: optimized geometry

Lattice parameters (Å, degrees): 6.6636 6.6636 5.3895 90.00 90.00 90.00
Last column: nearest neighbours and their distance in Å.
Positions (direct):
Rb1 0.0000 0.0000 0.0000  2 Cl 2.69
Sr1 0.0000 0.5000 0.0000  2 Rb 3.33
Sr2 0.5000 0.0000 0.0000  2 Rb 3.33
Os1 0.5000 0.5000 0.5000  8 Sr 4.29, 4 Cl 4.71
Cl1 0.0000 0.0000 0.5000  2 Rb 2.69

Calculated values
Formation energy without anion corrections   6.0 eV/f.u.
Calculated total energy   -11.4 eV per cell
Crystal system   tetragonal